[1]
MgRhSe3: optimized geometry, PBEsol.

Geometry as POSCAR:
```
MgRhSe3
1.0
4.847 0.000 0.000
0.000 4.847 0.000
0.000 0.000 4.847
Mg Rh Se
1 1 3
direct
0.000 0.000 0.000
0.500 0.500 0.500
0.000 0.500 0.500
0.500 0.000 0.500
0.500 0.500 0.000
```

Values from the calculation:
Its space group is No. 221. The raw formation energy is 1.53 kcal/mol of atoms. The density of states at the Fermi level comes out at 1.618 states/eV per atom.

[2]
CoSnGe2F: optimized geometry, PBEsol.

Geometry as POSCAR:
```
CoSnGe2F
1.0
5.239 0.000 0.000
0.000 5.239 0.000
0.000 0.000 4.763
Co Sn Ge F
1 1 2 1
direct
0.000 0.000 0.000
0.000 0.000 0.500
0.000 0.500 0.500
0.500 0.000 0.500
0.500 0.500 0.000
```

Values from the calculation:
Its space group is No. 123. The raw formation energy is 21.04 kcal/mol of atoms. The density of states at the Fermi level comes out at 1.038 states/eV per atom.

[3]
Mg2CdNi: optimized geometry, PBEsol.

Geometry as POSCAR:
```
Mg2CdNi
1.0
3.972 0.000 0.000
0.000 3.972 0.000
0.000 0.000 8.405
Mg Cd Ni
4 2 2
direct
0.000 0.000 0.000
0.000 0.500 0.250
0.500 0.000 0.750
0.500 0.500 0.500
0.000 0.500 0.750
0.500 0.000 0.250
0.000 0.000 0.500
0.500 0.500 0.000
```

Values from the calculation:
Its space group is No. 119. The density of states at the Fermi level comes out at 0.347 states/eV per atom. Its formation energy from the elements is -67 meV/atom.

[4]
TaBe2TePd: optimized geometry, PBEsol.

Geometry as POSCAR:
```
TaBe2TePd
1.0
4.385 0.000 0.000
0.000 4.385 0.000
0.000 0.000 5.052
Ta Be Te Pd
1 2 1 1
direct
0.000 0.000 0.000
0.000 0.500 0.500
0.500 0.000 0.500
0.000 0.000 0.500
0.500 0.500 0.000
```

Values from the calculation:
Its space group is No. 123. The raw formation energy is 36.02 kcal/mol of atoms. The density of states at the Fermi level comes out at 0.802 states/eV per atom.

[5]
AsIr2W: optimized geometry, PBEsol.

Geometry as POSCAR:
```
AsIr2W
1.0
9.251 0.000 0.000
0.000 2.793 0.000
-0.264 0.000 4.587
As Ir W
2 4 2
direct
0.000 0.000 0.000
0.500 0.500 0.000
0.234 0.000 0.741
0.266 0.500 0.259
0.734 0.500 0.741
0.766 0.000 0.259
0.000 0.500 0.500
0.500 0.000 0.500
```

Values from the calculation:
Its space group is No. 12. The density of states at the Fermi level comes out at 0.638 states/eV per atom. Its formation energy from the elements is 75 meV/atom.

[6]
Li24Al5: optimized geometry, PBEsol.

Geometry as POSCAR:
```
Li24Al5
1.0
-4.939 4.939 4.939
4.939 -4.939 4.939
4.939 4.939 -4.939
Li Al
24 5
direct
0.000 0.308 0.601
0.000 0.601 0.308
0.000 0.633 0.810
0.000 0.810 0.633
0.177 0.367 0.367
0.190 0.190 0.823
0.190 0.823 0.190
0.293 0.692 0.692
0.308 0.000 0.601
0.308 0.601 0.000
0.367 0.177 0.367
0.367 0.367 0.177
0.399 0.399 0.707
0.399 0.707 0.399
0.601 0.000 0.308
0.601 0.308 0.000
0.633 0.000 0.810
0.633 0.810 0.000
0.692 0.293 0.692
0.692 0.692 0.293
0.707 0.399 0.399
0.810 0.000 0.633
0.810 0.633 0.000
0.823 0.190 0.190
0.000 0.000 0.000
0.000 0.000 0.356
0.000 0.356 0.000
0.356 0.000 0.000
0.644 0.644 0.644
```

Values from the calculation:
Its space group is No. 217. The density of states at the Fermi level comes out at 0.270 states/eV per atom. Its formation energy from the elements is -48 meV/atom.

[7]
BeCu3W: optimized geometry, PBEsol.

Geometry as POSCAR:
```
BeCu3W
1.0
4.605 0.000 0.000
0.000 4.605 0.000
0.000 0.000 4.605
Be Cu W
1 3 1
direct
0.000 0.000 0.000
0.000 0.500 0.500
0.500 0.000 0.500
0.500 0.500 0.000
0.500 0.500 0.500
```

Values from the calculation:
Its space group is No. 221. The density of states at the Fermi level comes out at 0.920 states/eV per atom. Its formation energy from the elements is 2103 meV/atom.

[8]
Y2HfZnTc: optimized geometry, PBEsol.

Geometry as POSCAR:
```
Y2HfZnTc
1.0
5.064 0.000 0.000
0.000 5.064 0.000
0.000 0.000 4.878
Y Hf Zn Tc
2 1 1 1
direct
0.000 0.500 0.000
0.500 0.000 0.000
0.000 0.000 0.500
0.000 0.000 0.000
0.500 0.500 0.500
```

Values from the calculation:
Its space group is No. 123. The density of states at the Fermi level comes out at 1.573 states/eV per atom. Its formation energy from the elements is 1033 meV/atom.

[9]
CaZrSi: optimized geometry, PBEsol.

Geometry as POSCAR:
```
CaZrSi
1.0
3.261 0.000 0.000
-1.631 2.824 0.000
0.000 0.000 7.358
Ca Zr Si
1 1 1
direct
0.000 0.000 0.000
0.667 0.333 0.405
0.333 0.667 0.689
```

Values from the calculation:
Its space group is No. 156. The raw formation energy is 0.47 kcal/mol of atoms. The density of states at the Fermi level comes out at 1.002 states/eV per atom.

[10]
HgAs4S4I2: optimized geometry, PBEsol.

Geometry as POSCAR:
```
HgAs4S4I2
1.0
9.301 0.000 0.000
0.000 14.903 0.000
-7.046 0.000 9.035
Hg As S I
4 16 16 8
direct
0.232 0.041 0.025
0.232 0.459 0.525
0.768 0.541 0.475
0.768 0.959 0.975
0.103 0.542 0.884
0.103 0.958 0.384
0.275 0.657 0.216
0.275 0.843 0.716
0.378 0.041 0.606
0.378 0.459 0.106
0.459 0.694 0.122
0.459 0.806 0.622
0.541 0.194 0.378
0.541 0.306 0.878
0.622 0.541 0.894
0.622 0.959 0.394
0.725 0.157 0.284
0.725 0.343 0.784
0.897 0.042 0.616
0.897 0.458 0.116
0.010 0.622 0.995
0.010 0.878 0.495
0.254 0.659 0.881
0.254 0.841 0.381
0.361 0.511 0.283
0.361 0.989 0.783
0.396 0.058 0.329
0.396 0.442 0.829
0.604 0.558 0.171
0.604 0.942 0.671
0.639 0.011 0.217
0.639 0.489 0.717
0.746 0.159 0.619
0.746 0.341 0.119
0.990 0.122 0.505
0.990 0.378 0.005
0.124 0.630 0.470
0.124 0.870 0.970
0.273 0.211 0.975
0.273 0.289 0.475
0.727 0.711 0.525
0.727 0.789 0.025
0.876 0.130 0.030
0.876 0.370 0.530
```

Values from the calculation:
Its space group is No. 14. The raw formation energy is -3.38 kcal/mol of atoms.

[11]
LaNiAs3: optimized geometry, PBEsol.

Geometry as POSCAR:
```
LaNiAs3
1.0
4.653 0.000 0.000
0.000 4.653 0.000
0.000 0.000 4.653
La Ni As
1 1 3
direct
0.000 0.000 0.000
0.500 0.500 0.500
0.000 0.500 0.500
0.500 0.000 0.500
0.500 0.500 0.000
```

Values from the calculation:
Its space group is No. 221. The density of states at the Fermi level comes out at 0.653 states/eV per atom. Its formation energy from the elements is -464 meV/atom.

[12]
KAsS2Cl: optimized geometry, PBEsol.

Geometry as POSCAR:
```
KAsS2Cl
1.0
4.738 0.000 0.000
0.000 4.738 0.000
0.000 0.000 5.231
K As S Cl
1 1 2 1
direct
0.000 0.000 0.000
0.500 0.500 0.500
0.000 0.500 0.500
0.500 0.000 0.500
0.500 0.500 0.000
```

Values from the calculation:
Its space group is No. 123. The raw formation energy is -11.68 kcal/mol of atoms. The density of states at the Fermi level comes out at 0.348 states/eV per atom.

no.,total DFT energy (no corrections) (eV/atom)
1,-4.215
2,-3.848
3,-2.764
4,-4.445
5,-9.565
6,-2.381
7,-4.059
8,-6.366
9,-5.636
10,-3.971
11,-5.828
12,-3.909